Record 1
DFT (PBE) results for an optimized crystal structure of KMoIr.

Computed properties:
Spin magnetization   0.000 μB per atom
Energy relative to the lowest polymorph listed for this composition   0 meV per atom
Calculated volume   20.65 Å³/atom
Crystal system   cubic
E_tot   -5.478 eV per atom

a b c (Å): 6.282 6.282 6.282
angles (deg): 90.00 90.00 90.00
Space group F-43m (No. 216)
Asymmetric unit:
K: 0.000 0.000 0.000 (multiplicity 4)
Mo: 0.250 0.250 0.750 (multiplicity 4)
Ir: 0.000 0.000 0.500 (multiplicity 4)

=====

Record 2
DFT (PBE) results for an optimized crystal structure of K2Na2IrO4.

Computed properties:
Spin magnetization   0.333 μB per atom
Calculated volume   15.78 Å³/atom
Crystal system   monoclinic
E_tot   -4.976 eV per atom

a b c (Å): 5.966 11.109 9.290
angles (deg): 90.00 112.74 90.00
Space group P2_1/c (No. 14)
Asymmetric unit:
K: 0.158 0.133 0.279 (multiplicity 4)
K: 0.170 0.637 0.004 (multiplicity 4)
Na: 0.067 0.108 0.906 (multiplicity 4)
Na: 0.431 0.613 0.407 (multiplicity 4)
Ir: 0.485 0.129 0.728 (multiplicity 4)
O: 0.213 0.033 0.723 (multiplicity 4)
O: 0.240 0.726 0.761 (multiplicity 4)
O: 0.276 0.231 0.563 (multiplicity 4)
O: 0.296 0.534 0.598 (multiplicity 4)

=====

Record 3
DFT (PBE) results for an optimized crystal structure of K3NaIrO6.

Computed properties:
Spin magnetization   0.091 μB per atom
Calculated volume   15.67 Å³/atom
Crystal system   trigonal
E_tot   -5.094 eV per atom

a b c (Å): 10.1155 10.1155 11.6718
angles (deg): 90.00 90.00 120.00
Space group R-3c (No. 167, hexagonal axes)
Asymmetric unit:
K: 0.0000 0.3549 0.2500 (multiplicity 18)
Na: 0.0000 0.0000 0.2500 (multiplicity 6)
Ir: 0.0000 0.0000 0.0000 (multiplicity 6)
O: 0.0189 0.1608 0.4047 (multiplicity 36)

=====

Record 4
DFT (PBE) results for an optimized crystal structure of K2NaIrO6.

Computed properties:
Spin magnetization   0.000 μB per atom
Calculated volume   13.97 Å³/atom
Crystal system   cubic
E_tot   -5.213 eV per atom

a b c (Å): 8.236 8.236 8.236
angles (deg): 90.00 90.00 90.00
Space group Fm-3m (No. 225)
Asymmetric unit:
K: 0.250 0.250 0.250 (multiplicity 8)
Na: 0.000 0.000 0.000 (multiplicity 4)
Ir: 0.000 0.000 0.500 (multiplicity 4)
O: 0.000 0.000 0.274 (multiplicity 24)

=====

Record 5
DFT (PBE) results for an optimized crystal structure of KNaP2Ir2.

Computed properties:
Spin magnetization   0.050 μB per atom
Calculated volume   21.07 Å³/atom
Crystal system   tetragonal
E_tot   -5.644 eV per atom

a b c (Å): 3.978 3.978 7.987
angles (deg): 90.00 90.00 90.00
Space group P4mm (No. 99)
Asymmetric unit:
K: 0.000 0.000 0.000 (multiplicity 1)
Na: 0.500 0.500 0.676 (multiplicity 1)
P: 0.000 0.000 0.536 (multiplicity 1)
P: 0.500 0.500 0.206 (multiplicity 1)
Ir: 0.000 0.500 0.370 (multiplicity 2)

=====

Record 6
DFT (PBE) results for an optimized crystal structure of KNaReIr.

Computed properties:
Spin magnetization   0.071 μB per atom
Energy relative to the lowest polymorph listed for this composition   96 meV per atom
Calculated volume   18.59 Å³/atom
Crystal system   cubic
E_tot   -4.566 eV per atom

a b c (Å): 6.675 6.675 6.675
angles (deg): 90.00 90.00 90.00
Space group F-43m (No. 216)
Asymmetric unit:
K: 0.000 0.000 0.000 (multiplicity 4)
Na: 0.250 0.250 0.250 (multiplicity 4)
Re: 0.000 0.000 0.500 (multiplicity 4)
Ir: 0.250 0.250 0.750 (multiplicity 4)